Ce2ThHg | GGA-PBE | relaxed

Cell: 4.7249 4.7249 5.0098 Å, 90.00 90.00 90.00°
With the nearest neighbours (Å) after each atom.
Fractional positions:
1 Ce 0.0000 0.5000 0.0000  4 Ce 3.34, 4 Hg 3.44, 4 Th 3.44
2 Ce 0.5000 0.0000 0.0000  4 Ce 3.34, 4 Hg 3.44, 4 Th 3.44
3 Th 0.0000 0.0000 0.5000  4 Hg 3.34, 8 Ce 3.44
4 Hg 0.5000 0.5000 0.5000  4 Th 3.34, 8 Ce 3.44

Computed properties:
calculated volume	28.0	A^3/atom
magnetic moment	1.6	Bohr magnetons per cell
offset from the most stable computed form	74	meV per atom
formation enthalpy at 0 K	-0.065	eV per atom
ρ	10.58	g/cm3
SG	P4/mmm